# 1
{
  "formula": "TbDy3Al8",
  "functional": "GGA-PBE",
  "state": "relaxed",
  "lattice_angstrom": [[5.5541, 0.0000, 0.0000], [-2.7771, 4.8100, 0.0000], [0.0000, 0.0000, 9.1248]],
  "species": ["Tb", "Dy", "Dy", "Dy", "Al", "Al", "Al", "Al", "Al", "Al", "Al", "Al"],
  "fractional_positions": [[0.0000, 0.0000, 0.0000], [0.0000, 0.0000, 0.3644], [0.6667, 0.3333, 0.4998], [0.6667, 0.3333, 0.8642], [0.1621, 0.3242, 0.6819], [0.1621, 0.8379, 0.6819], [0.3333, 0.6667, 0.4324], [0.3333, 0.6667, 0.9320], [0.5045, 0.0091, 0.1825], [0.5045, 0.4955, 0.1825], [0.6758, 0.8379, 0.6819], [0.9909, 0.4955, 0.1825]],
  "sg": "P3m1, No. 156",
  "dos_ef_per_ev_cell": 5.63,
  "volume_a3_per_cell": 243.8,
  "formation_enthalpy_0k_kj_per_mol_atoms": -49.2
}

# 2
{
  "formula": "TbDy8Al2",
  "functional": "GGA-PBE",
  "state": "relaxed",
  "lattice_angstrom": [[4.3822, -7.3117, 0.0000], [4.3822, 7.3117, 0.0000], [-2.1955, 0.0000, 5.1272]],
  "species": ["Tb", "Dy", "Dy", "Dy", "Dy", "Dy", "Dy", "Dy", "Dy", "Al", "Al"],
  "fractional_positions": [[0.0000, 0.0000, 0.0000], [0.0882, 0.3255, 0.6125], [0.2237, 0.7763, 0.0000], [0.3255, 0.0882, 0.6125], [0.4039, 0.4039, 0.2046], [0.5961, 0.5961, 0.7954], [0.6745, 0.9118, 0.3875], [0.7763, 0.2237, 0.0000], [0.9118, 0.6745, 0.3875], [0.3079, 0.6921, 0.5000], [0.6921, 0.3079, 0.5000]],
  "sg": "C2/m, No. 12",
  "dos_ef_per_ev_cell": 15.15,
  "volume_a3_per_cell": 328.6,
  "formation_enthalpy_0k_kj_per_mol_atoms": 0.8
}